# CeHf2Re, optimized geometry, DFT PBE
# DFT total energy = -38.76 eV for the cell shown
# crystal system = tetragonal
# ρ = 12.91 Mg/m³
# energy relative to the elements = -0.1188 eV per atom
# spin magnetization = 0.4 μB per formula unit
data_CeHf2Re
_chemical_formula_sum 'Ce1 Hf2 Re1'
_space_group_name_H-M_alt 'P 4/m m m'
_space_group_IT_number 123
_space_group_name_Hall '-P 4 2'
_cell_length_a 3.281
_cell_length_b 3.281
_cell_length_c 8.162
_cell_angle_alpha 90.00
_cell_angle_beta 90.00
_cell_angle_gamma 90.00
loop_
_atom_site_label
_atom_site_type_symbol
_atom_site_fract_x
_atom_site_fract_y
_atom_site_fract_z
Ce1 Ce 0.000 0.000 0.000
Hf1 Hf 0.500 0.500 0.308
Re1 Re 0.000 0.000 0.500